# BaGe4Pd12 (PBE, relaxed)
data_BaGe4Pd12
_chemical_formula_sum 'Ba2 Ge8 Pd24'
_space_group_name_H-M_alt 'I m -3'
_space_group_IT_number 204
_space_group_name_Hall '-I 2 2 3'
_cell_length_a 8.636
_cell_length_b 8.636
_cell_length_c 8.636
_cell_angle_alpha 90.00
_cell_angle_beta 90.00
_cell_angle_gamma 90.00
loop_
_atom_site_label
_atom_site_type_symbol
_atom_site_fract_x
_atom_site_fract_y
_atom_site_fract_z
Ba1 Ba 0.000 0.000 0.000
Ge1 Ge 0.250 0.250 0.250
Pd1 Pd 0.000 0.168 0.347
# Calculated density ... 8.792 g/cm³
# DFT formation energy ... -23.9 kJ/mol of atoms

# CuSb2Cl (PBE, relaxed)
data_CuSb2Cl
_chemical_formula_sum 'Cu1 Sb2 Cl1'
_space_group_name_H-M_alt 'P m m m'
_space_group_IT_number 47
_space_group_name_Hall '-P 2 2'
_cell_length_a 3.252
_cell_length_b 4.765
_cell_length_c 5.829
_cell_angle_alpha 90.00
_cell_angle_beta 90.00
_cell_angle_gamma 90.00
loop_
_atom_site_label
_atom_site_type_symbol
_atom_site_fract_x
_atom_site_fract_y
_atom_site_fract_z
Cu1 Cu 0.000 0.000 0.000
Sb1 Sb 0.000 0.500 0.500
Sb2 Sb 0.500 0.500 0.000
Cl1 Cl 0.500 0.000 0.500
# Calculated density ... 6.297 g/cm³
# Relative energy among the computed polymorphs ... 30.3 kJ/mol of atoms
# Raw formation energy ... 0.17 eV per atom

# HfInN2F (PBE, relaxed)
data_HfInN2F
_chemical_formula_sum 'Hf1 In1 N2 F1'
_space_group_name_H-M_alt 'P 4/m m m'
_space_group_IT_number 123
_space_group_name_Hall '-P 4 2'
_cell_length_a 4.269
_cell_length_b 4.269
_cell_length_c 4.076
_cell_angle_alpha 90.00
_cell_angle_beta 90.00
_cell_angle_gamma 90.00
loop_
_atom_site_label
_atom_site_type_symbol
_atom_site_fract_x
_atom_site_fract_y
_atom_site_fract_z
Hf1 Hf 0.000 0.000 0.000
In1 In 0.500 0.500 0.500
N1 N 0.000 0.500 0.000
F1 F 0.000 0.000 0.500
# Calculated density ... 7.609 g/cm³
# Relative energy among the computed polymorphs ... 0.0 kJ/mol of atoms
# Raw formation energy ... -0.83 eV per atom

# Ga3PbAu3 (PBE, relaxed)
data_Ga3PbAu3
_chemical_formula_sum 'Ga18 Pb6 Au18'
_space_group_name_H-M_alt 'R -3'
_space_group_IT_number 148
_space_group_name_Hall '-R 3'
_cell_length_a 7.0932
_cell_length_b 7.0932
_cell_length_c 22.0613
_cell_angle_alpha 90.00
_cell_angle_beta 90.00
_cell_angle_gamma 120.00
loop_
_atom_site_label
_atom_site_type_symbol
_atom_site_fract_x
_atom_site_fract_y
_atom_site_fract_z
Ga1 Ga 0.0407 0.7897 0.3849
Pb1 Pb 0.0000 0.0000 0.1888
Au1 Au 0.0468 0.7846 0.9317
# Calculated density ... 10.440 g/cm³
# DFT formation energy ... -8.4 kJ/mol of atoms
# Relative energy among the computed polymorphs ... 0.0 kJ/mol of atoms

# ScTaAgAu2 (PBE, relaxed)
data_ScTaAgAu2
_chemical_formula_sum 'Sc1 Ta1 Ag1 Au2'
_space_group_name_H-M_alt 'P 4/m m m'
_space_group_IT_number 123
_space_group_name_Hall '-P 4 2'
_cell_length_a 5.013
_cell_length_b 5.013
_cell_length_c 4.818
_cell_angle_alpha 90.00
_cell_angle_beta 90.00
_cell_angle_gamma 90.00
loop_
_atom_site_label
_atom_site_type_symbol
_atom_site_fract_x
_atom_site_fract_y
_atom_site_fract_z
Sc1 Sc 0.000 0.000 0.000
Ta1 Ta 0.000 0.000 0.500
Ag1 Ag 0.500 0.500 0.500
Au1 Au 0.000 0.500 0.000
# Calculated density ... 9.982 g/cm³
# DFT formation energy ... 114.8 kJ/mol of atoms

# Sr2BeCo2 (PBE, relaxed)
data_Sr2BeCo2
_chemical_formula_sum 'Sr4 Be2 Co4'
_space_group_name_H-M_alt 'P 4/m b m'
_space_group_IT_number 127
_space_group_name_Hall '-P 4 2ab'
_cell_length_a 8.556
_cell_length_b 8.556
_cell_length_c 3.600
_cell_angle_alpha 90.00
_cell_angle_beta 90.00
_cell_angle_gamma 90.00
loop_
_atom_site_label
_atom_site_type_symbol
_atom_site_fract_x
_atom_site_fract_y
_atom_site_fract_z
Sr1 Sr 0.187 0.313 0.000
Be1 Be 0.000 0.000 0.000
Co1 Co 0.088 0.588 0.500
# Calculated density ... 3.807 g/cm³
# DFT formation energy ... 92.3 kJ/mol of atoms
# Relative energy among the computed polymorphs ... 42.2 kJ/mol of atoms

# Li2Bi2Te (PBE, relaxed)
data_Li2Bi2Te
_chemical_formula_sum 'Li4 Bi4 Te2'
_space_group_name_H-M_alt 'I 4/m m m'
_space_group_IT_number 139
_space_group_name_Hall '-I 4 2'
_cell_length_a 4.878
_cell_length_b 4.878
_cell_length_c 11.440
_cell_angle_alpha 90.00
_cell_angle_beta 90.00
_cell_angle_gamma 90.00
loop_
_atom_site_label
_atom_site_type_symbol
_atom_site_fract_x
_atom_site_fract_y
_atom_site_fract_z
Li1 Li 0.000 0.500 0.250
Bi1 Bi 0.000 0.000 0.125
Te1 Te 0.000 0.000 0.500
# Calculated density ... 6.824 g/cm³
# Relative energy among the computed polymorphs ... 25.9 kJ/mol of atoms
# Raw formation energy ... 0.00 eV per atom

# CeC4 (PBE, relaxed)
data_CeC4
_chemical_formula_sum 'Ce1 C4'
_space_group_name_H-M_alt 'P m -3 m'
_space_group_IT_number 221
_space_group_name_Hall '-P 4 2 3'
_cell_length_a 4.338
_cell_length_b 4.338
_cell_length_c 4.338
_cell_angle_alpha 90.00
_cell_angle_beta 90.00
_cell_angle_gamma 90.00
loop_
_atom_site_label
_atom_site_type_symbol
_atom_site_fract_x
_atom_site_fract_y
_atom_site_fract_z
Ce1 Ce 0.000 0.000 0.000
C1 C 0.000 0.000 0.500
C2 C 0.500 0.500 0.500
# Calculated density ... 3.829 g/cm³
# DFT formation energy ... 371.9 kJ/mol of atoms